# CsKSiSe3

An optimized crystal structure of CsKSiSe3 (GGA-PBE, the Alexandria database).

abc: 9.4487 10.3580 10.2738
angles: 90.00 90.82 90.00
Space group C2/m (No. 12)
Unique sites:
Cs  0.2016  0.0000  0.1170
K  0.0000  0.2601  0.5000
Si  0.1768  0.0000  0.7016
Se  0.1312  0.1816  0.8022
Se  0.2475  0.0000  0.4981

Values from the calculation:
E_tot = -3.9015 eV per atom
volume = 41.9 Å³ per atom